Record 1
## TbSbSe (PBE-GGA)

Data for a relaxed structure of TbSbSe.

Computed properties:
ρ in g/cm3: 6.67

a b c (Å): 4.8259 4.8259 26.6316
angles (deg): 90.00 90.00 120.00
Space group R-3m (No. 166, hexagonal axes)
One atom of each set of equivalent atoms:
Tb 0.0000 0.0000 0.0983
Sb 0.0000 0.0000 0.3503
Se 0.0000 0.0000 0.2071

---

Record 2
## Tb6Sb2TeSe3 (PBE-GGA)

Data for a relaxed structure of Tb6Sb2TeSe3.

Computed properties:
ρ in g/cm3: 7.98

a b c (Å): 18.540 4.238 8.509
angles (deg): 90.00 103.49 90.00
Space group C2/m (No. 12)
One atom of each set of equivalent atoms:
Tb 0.003 0.000 0.231
Tb 0.164 0.500 0.091
Tb 0.174 0.500 0.578
Sb 0.166 0.000 0.831
Te 0.000 0.500 0.500
Se 0.000 0.500 0.000
Se 0.165 0.000 0.333

---

The calculation returns the following calculated total energy values, one per record and in order: -5.070 -5.636 eV per atom.